w) ## Ti2BeGa (PBE)

Data for crystalline Ti2BeGa at its relaxed geometry.

Cell: 3.9361 3.9361 3.6980 Å, 90.00 90.00 90.00°
Closest atoms and distances in Å follow each position.
Space group P4/mmm (No. 123)
Inequivalent atoms, fractional coordinates:
Ti1 0.0000 0.5000 0.0000 [2 per cell]  4 Ga 2.70, 4 Be 2.70, 4 Ti 2.78
Be1 0.0000 0.0000 0.5000 [1 per cell]  8 Ti 2.70, 4 Ga 2.78
Ga1 0.5000 0.5000 0.5000 [1 per cell]  8 Ti 2.70, 4 Be 2.78

x) ## Ti2BeGa (PBE)

Data for crystalline Ti2BeGa at its relaxed geometry.

Cell: 2.8025 2.8025 7.2517 Å, 90.00 90.00 90.00°
Closest atoms and distances in Å follow each position.
Space group P4/mmm (No. 123)
Inequivalent atoms, fractional coordinates:
Ti1 0.0000 0.0000 0.2277 [2 per cell]  4 Be 2.58, 4 Ga 2.80, 4 Ti 2.80
Be1 0.5000 0.5000 0.0000 [1 per cell]  8 Ti 2.58, 4 Be 2.80
Ga1 0.5000 0.5000 0.5000 [1 per cell]  8 Ti 2.80, 4 Ga 2.80

Which of them is least stable? Easy: x).

w) ## Ti5BeGa4 (PBE)

Data for crystalline Ti5BeGa4 at its relaxed geometry.

Cell: 2.8131 2.8131 19.1136 Å, 90.00 90.00 90.00°
Closest atoms and distances in Å follow each position.
Space group P4/mmm (No. 123)
Inequivalent atoms, fractional coordinates:
Ti1 0.0000 0.0000 0.0000 [1 per cell]  8 Ga 2.81, 4 Ti 2.81
Ti2 0.0000 0.0000 0.2080 [2 per cell]  8 Ga 2.80-2.81, 4 Ti 2.81
Ti3 0.0000 0.0000 0.4148 [2 per cell]  4 Be 2.57, 4 Ti 2.81, 4 Ga 2.81
Be1 0.5000 0.5000 0.5000 [1 per cell]  8 Ti 2.57, 4 Be 2.81
Ga1 0.5000 0.5000 0.1038 [2 per cell]  8 Ti 2.81, 4 Ga 2.81
Ga2 0.5000 0.5000 0.3107 [2 per cell]  8 Ti 2.80-2.81, 4 Ga 2.81

x) ## Ti5BeGa4 (PBE)

Data for crystalline Ti5BeGa4 at its relaxed geometry.

Cell: 8.7450 8.7450 4.2838 Å, 90.00 90.00 90.00°
Closest atoms and distances in Å follow each position.
Space group I4/mmm (No. 139)
Inequivalent atoms, fractional coordinates:
Ti1 0.0000 0.0000 0.0000 [2 per cell]  2 Be 2.14
Ti2 0.1820 0.1820 0.5000 [8 per cell]  1 Be 2.25
Be1 0.0000 0.0000 0.5000 [2 per cell]  6 Ti 2.14-2.25
Ga1 0.0000 0.3131 0.0000 [8 per cell]  7 Ti 2.74-2.90

Which of them is least stable? Easy: x).

w) ## Ti3BeGa (PBE)

Data for crystalline Ti3BeGa at its relaxed geometry.

Cell: 4.3515 4.3515 4.3515 Å, 90.00 90.00 90.00°
Closest atoms and distances in Å follow each position.
Space group Pm-3m (No. 221)
Inequivalent atoms, fractional coordinates:
Ti1 0.0000 0.0000 0.5000 [3 per cell]  2 Be 2.18
Be1 0.0000 0.0000 0.0000 [1 per cell]  6 Ti 2.18
Ga1 0.5000 0.5000 0.5000 [1 per cell]  12 Ti 3.08

x) ## Ti3BeGa (PBE)

Data for crystalline Ti3BeGa at its relaxed geometry.

Cell: 6.1451 6.1451 4.7351 Å, 90.00 90.00 120.00°
Closest atoms and distances in Å follow each position.
Space group P6_3/mmc (No. 194)
Inequivalent atoms, fractional coordinates:
Ti1 0.1853 0.3705 0.2500 [6 per cell]  2 Be 2.30
Be1 0.0000 0.0000 0.0000 [2 per cell]  6 Ti 2.30, 2 Be 2.37
Ga1 0.3333 0.6667 0.7500 [2 per cell]  12 Ti 2.84-3.08

Which of them is least stable? Easy: w).

w) ## Ti3BeGa2 (PBE)

Data for crystalline Ti3BeGa2 at its relaxed geometry.

Cell: 11.2525 6.7312 4.9315 Å, 90.00 90.00 90.00°
Closest atoms and distances in Å follow each position.
Space group Cmcm (No. 63)
Inequivalent atoms, fractional coordinates:
Ti1 0.0000 0.1935 0.2500 [4 per cell]  1 Be 2.43
Ti2 0.2015 0.5000 0.0000 [8 per cell]  2 Ti 2.47, 2 Be 2.61, 4 Ga 2.66-2.74
Be1 0.0000 0.4459 0.7500 [4 per cell]  2 Ga 2.28, 1 Ti 2.43
Ga1 0.1143 0.1667 0.7500 [8 per cell]  1 Be 2.28

x) ## Ti3BeGa2 (PBE)

Data for crystalline Ti3BeGa2 at its relaxed geometry.

Cell: 10.2141 3.8820 9.1740 Å, 90.00 90.00 90.00°
Closest atoms and distances in Å follow each position.
Space group Pnma (No. 62)
Inequivalent atoms, fractional coordinates:
Ti1 0.0316 0.2500 0.1210 [4 per cell]  5 Ga 2.63-2.71, 1 Be 2.70
Ti2 0.1379 0.7500 0.5980 [4 per cell]  5 Ga 2.65-2.74, 3 Be 2.69-2.71, 3 Ti 2.95-2.96
Ti3 0.2006 0.2500 0.8318 [4 per cell]  2 Be 2.68, 5 Ga 2.73-2.89, 3 Ti 2.95-2.96
Be1 0.1271 0.2500 0.3957 [4 per cell]  3 Ga 2.29-2.30
Ga1 0.0250 0.7500 0.3273 [4 per cell]  2 Be 2.29
Ga2 0.1893 0.7500 0.0417 [4 per cell]  1 Be 2.30

Which of them is least stable? Easy: w).

w) ## Be2TlGa2 (PBE)

Data for crystalline Be2TlGa2 at its relaxed geometry.

Cell: 3.9337 3.9337 10.9686 Å, 90.00 90.00 90.00°
Closest atoms and distances in Å follow each position.
Space group I4/mmm (No. 139)
Inequivalent atoms, fractional coordinates:
Be1 0.0000 0.5000 0.2500 [4 per cell]  4 Ga 2.41
Tl1 0.0000 0.0000 0.0000 [2 per cell]  8 Ga 3.09, 8 Be 3.37
Ga1 0.0000 0.0000 0.3771 [4 per cell]  4 Be 2.41, 1 Ga 2.70

x) ## Be2TlGa2 (PBE)

Data for crystalline Be2TlGa2 at its relaxed geometry.

Cell: 6.6738 6.6738 3.7227 Å, 90.00 90.00 90.00°
Closest atoms and distances in Å follow each position.
Space group P4/mbm (No. 127)
Inequivalent atoms, fractional coordinates:
Be1 0.1147 0.3853 0.0000 [4 per cell]  1 Be 2.16
Tl1 0.0000 0.0000 0.0000 [2 per cell]  4 Be 2.68
Ga1 0.1540 0.6540 0.5000 [4 per cell]  6 Be 2.60-2.87, 1 Ga 2.91

Which of them is least stable? Easy: x).

w) ## Be2TlGa (PBE)

Data for crystalline Be2TlGa at its relaxed geometry.

Cell: 6.3737 6.3737 6.3737 Å, 90.00 90.00 90.00°
Closest atoms and distances in Å follow each position.
Space group Fm-3m (No. 225)
Inequivalent atoms, fractional coordinates:
Be1 0.2500 0.2500 0.2500 [8 per cell]  4 Tl 2.76, 4 Ga 2.76
Tl1 0.0000 0.0000 0.0000 [4 per cell]  8 Be 2.76
Ga1 0.0000 0.0000 0.5000 [4 per cell]  8 Be 2.76

x) ## Be2TlGa (PBE)

Data for crystalline Be2TlGa at its relaxed geometry.

Cell: 4.3036 4.3036 15.6302 Å, 90.00 90.00 90.00°
Closest atoms and distances in Å follow each position.
Space group I-42d (No. 122)
Inequivalent atoms, fractional coordinates:
Be1 0.0317 0.2500 0.1250 [8 per cell]  2 Be 2.17, 2 Ga 2.23
Tl1 0.0000 0.0000 0.5000 [4 per cell]  8 Be 3.01-3.20, 4 Ga 3.04
Ga1 0.0000 0.0000 0.0000 [4 per cell]  4 Be 2.23

Which of them is least stable? Easy: w).

w) ## BeTl3Ga (PBE)

Data for crystalline BeTl3Ga at its relaxed geometry.

Cell: 5.5097 5.5097 5.5097 Å, 90.00 90.00 90.00°
Closest atoms and distances in Å follow each position.
Space group Pm-3m (No. 221)
Inequivalent atoms, fractional coordinates:
Be1 0.0000 0.0000 0.0000 [1 per cell]  12 Tl 3.90
Tl1 0.0000 0.5000 0.5000 [3 per cell]  2 Ga 2.75
Ga1 0.5000 0.5000 0.5000 [1 per cell]  6 Tl 2.75

x) ## BeTl3Ga (PBE)

Data for crystalline BeTl3Ga at its relaxed geometry.

Cell: 5.0758 5.0758 5.0758 Å, 90.00 90.00 90.00°
Closest atoms and distances in Å follow each position.
Space group Pm-3m (No. 221)
Inequivalent atoms, fractional coordinates:
Be1 0.0000 0.0000 0.0000 [1 per cell]  6 Tl 2.54
Tl1 0.0000 0.0000 0.5000 [3 per cell]  2 Be 2.54
Ga1 0.5000 0.5000 0.5000 [1 per cell]  12 Tl 3.59

Which of them is least stable? Easy: w).

w) ## BeTlGa3 (PBE)

Data for crystalline BeTlGa3 at its relaxed geometry.

Cell: 4.6757 4.6757 4.6757 Å, 90.00 90.00 90.00°
Closest atoms and distances in Å follow each position.
Space group Pm-3m (No. 221)
Inequivalent atoms, fractional coordinates:
Be1 0.0000 0.0000 0.0000 [1 per cell]  6 Ga 2.34
Tl1 0.5000 0.5000 0.5000 [1 per cell]  12 Ga 3.31
Ga1 0.0000 0.0000 0.5000 [3 per cell]  2 Be 2.34

x) ## BeTlGa3 (PBE)

Data for crystalline BeTlGa3 at its relaxed geometry.

Cell: 5.4240 5.4240 5.4240 Å, 90.00 90.00 90.00°
Closest atoms and distances in Å follow each position.
Space group Pm-3m (No. 221)
Inequivalent atoms, fractional coordinates:
Be1 0.0000 0.0000 0.0000 [1 per cell]  12 Ga 3.84
Tl1 0.5000 0.5000 0.5000 [1 per cell]  6 Ga 2.71
Ga1 0.0000 0.5000 0.5000 [3 per cell]  2 Tl 2.71

Which of them is least stable? Easy: x).

w) ## BeTlGa2 (PBE)

Data for crystalline BeTlGa2 at its relaxed geometry.

Cell: 6.8453 6.8453 6.8453 Å, 90.00 90.00 90.00°
Closest atoms and distances in Å follow each position.
Space group Fm-3m (No. 225)
Inequivalent atoms, fractional coordinates:
Be1 0.0000 0.0000 0.0000 [4 per cell]  8 Ga 2.96
Tl1 0.0000 0.0000 0.5000 [4 per cell]  8 Ga 2.96
Ga1 0.2500 0.2500 0.2500 [8 per cell]  4 Tl 2.96, 4 Be 2.96

x) ## BeTlGa2 (PBE)

Data for crystalline BeTlGa2 at its relaxed geometry.

Cell: 4.5539 4.5539 15.8735 Å, 90.00 90.00 90.00°
Closest atoms and distances in Å follow each position.
Space group I-42d (No. 122)
Inequivalent atoms, fractional coordinates:
Be1 0.0000 0.0000 0.0000 [4 per cell]  4 Ga 2.38
Tl1 0.0000 0.0000 0.5000 [4 per cell]  4 Ga 2.81
Ga1 0.1423 0.2500 0.1250 [8 per cell]  2 Be 2.38, 2 Ga 2.62

Which of them is least stable? Easy: w).

w) ## Tm2BeGa3 (PBE)

Data for crystalline Tm2BeGa3 at its relaxed geometry.

Cell: 3.7164 4.1851 7.2512 Å, 90.00 90.00 90.00°
Closest atoms and distances in Å follow each position.
Space group Pmm2 (No. 25)
Inequivalent atoms, fractional coordinates:
Tm1 0.0000 0.0000 0.0000 [1 per cell]  2 Be 2.99, 10 Ga 3.06-3.19
Tm2 0.0000 0.5000 0.4890 [1 per cell]  8 Ga 2.93-3.09, 4 Be 3.05
Be1 0.5000 0.0000 0.3230 [1 per cell]  3 Ga 2.31-2.35
Ga1 0.5000 0.0000 0.6420 [1 per cell]  1 Be 2.31, 2 Ga 2.50
Ga2 0.5000 0.5000 0.1758 [1 per cell]  2 Be 2.35, 1 Ga 2.51
Ga3 0.5000 0.5000 0.8297 [1 per cell]  3 Ga 2.50-2.51

x) ## Tm2BeGa3 (PBE)

Data for crystalline Tm2BeGa3 at its relaxed geometry.

Cell: 7.2873 8.4361 14.5830 Å, 90.00 90.00 90.00°
Closest atoms and distances in Å follow each position.
Space group Fmmm (No. 69)
Inequivalent atoms, fractional coordinates:
Tm1 0.2463 0.0000 0.0000 [8 per cell]  10 Ga 3.02-3.11, 2 Be 3.06
Tm2 0.2500 0.2500 0.2500 [8 per cell]  8 Ga 3.00, 4 Be 3.04
Be1 0.0000 0.0000 0.3331 [8 per cell]  3 Ga 2.33
Ga1 0.0000 0.0000 0.1735 [8 per cell]  1 Be 2.33, 2 Ga 2.54
Ga2 0.0000 0.2392 0.4132 [16 per cell]  1 Be 2.33, 2 Ga 2.53-2.54

Which of them is least stable? Easy: w).

w) ## TmBeGa2 (PBE)

Data for crystalline TmBeGa2 at its relaxed geometry.

Cell: 3.9721 3.9721 15.3499 Å, 90.00 90.00 120.00°
Closest atoms and distances in Å follow each position.
Space group R-3m (No. 166, hexagonal axes)
Inequivalent atoms, fractional coordinates:
Tm1 0.0000 0.0000 0.0000 [3 per cell]  6 Ga 2.92
Be1 0.0000 0.0000 0.5000 [3 per cell]  6 Ga 2.41
Ga1 0.0000 0.0000 0.2155 [6 per cell]  3 Be 2.41

x) ## TmBeGa2 (PBE)

Data for crystalline TmBeGa2 at its relaxed geometry.

Cell: 4.0710 4.0710 4.1311 Å, 90.00 90.00 90.00°
Closest atoms and distances in Å follow each position.
Space group P4/mmm (No. 123)
Inequivalent atoms, fractional coordinates:
Tm1 0.0000 0.0000 0.0000 [1 per cell]  4 Be 2.88, 8 Ga 2.90
Be1 0.5000 0.5000 0.0000 [1 per cell]  4 Tm 2.88, 8 Ga 2.90
Ga1 0.0000 0.5000 0.5000 [2 per cell]  4 Ga 2.88, 4 Be 2.90, 4 Tm 2.90

Which of them is least stable? Easy: x).

w) ## Be3VGa (PBE)

Data for crystalline Be3VGa at its relaxed geometry.

Cell: 4.2572 4.2572 4.2572 Å, 90.00 90.00 90.00°
Closest atoms and distances in Å follow each position.
Space group Pm-3m (No. 221)
Inequivalent atoms, fractional coordinates:
Be1 0.0000 0.0000 0.5000 [3 per cell]  2 V 2.13
V1 0.0000 0.0000 0.0000 [1 per cell]  6 Be 2.13
Ga1 0.5000 0.5000 0.5000 [1 per cell]  12 Be 3.01

x) ## Be3VGa (PBE)

Data for crystalline Be3VGa at its relaxed geometry.

Cell: 4.0853 4.0853 4.0853 Å, 90.00 90.00 90.00°
Closest atoms and distances in Å follow each position.
Space group Pm-3m (No. 221)
Inequivalent atoms, fractional coordinates:
Be1 0.0000 0.0000 0.5000 [3 per cell]  2 Ga 2.04
V1 0.5000 0.5000 0.5000 [1 per cell]  12 Be 2.89
Ga1 0.0000 0.0000 0.0000 [1 per cell]  6 Be 2.04

Which of them is least stable? Easy: w).